The following is a DFT calculation (PBE-GGA) of a geometry-optimized Dy2HoBr structure.

Structure (CIF):
```
data_Dy2HoBr
_symmetry_space_group_name_H-M 'R -3 m'
_symmetry_Int_Tables_number 166
_symmetry_space_group_name_Hall '-R 3 2"'
_cell_length_a 3.6322
_cell_length_b 3.6322
_cell_length_c 30.6309
_cell_angle_alpha 90.00
_cell_angle_beta 90.00
_cell_angle_gamma 120.00
loop_
_atom_site_label
_atom_site_type_symbol
_atom_site_fract_x
_atom_site_fract_y
_atom_site_fract_z
Dy1 Dy 0.0000 0.0000 0.2429
Ho1 Ho 0.0000 0.0000 0.0000
Br1 Br 0.0000 0.0000 0.5000
```

density = 8.1 g cm⁻³
raw formation energy = -0.51 eV/atom


The following is a DFT calculation (PBE-GGA) of a geometry-optimized DyIBr2 structure.

Structure (CIF):
```
data_DyIBr2
_symmetry_space_group_name_H-M 'C 1 c 1'
_symmetry_Int_Tables_number 9
_symmetry_space_group_name_Hall 'C -2yc'
_cell_length_a 8.2510
_cell_length_b 12.2677
_cell_length_c 7.4758
_cell_angle_alpha 90.00
_cell_angle_beta 118.55
_cell_angle_gamma 90.00
loop_
_atom_site_label
_atom_site_type_symbol
_atom_site_fract_x
_atom_site_fract_y
_atom_site_fract_z
Dy1 Dy 0.0000 0.0899 0.0000
I1 I 0.2342 0.0898 0.7870
Br1 Br 0.2406 0.2503 0.2613
Br2 Br 0.2915 0.4327 0.7067
```

distance to the lowest polymorph of the same formula = 0.000 eV per atom
density = 4.5 g cm⁻³
raw formation energy = -1.68 eV/atom


The following is a DFT calculation (PBE-GGA) of a geometry-optimized DyI2Br structure.

Structure (CIF):
```
data_DyI2Br
_symmetry_space_group_name_H-M 'I m m 2'
_symmetry_Int_Tables_number 44
_symmetry_space_group_name_Hall 'I 2 -2'
_cell_length_a 3.9074
_cell_length_b 12.7116
_cell_length_c 7.7417
_cell_angle_alpha 90.00
_cell_angle_beta 90.00
_cell_angle_gamma 90.00
loop_
_atom_site_label
_atom_site_type_symbol
_atom_site_fract_x
_atom_site_fract_y
_atom_site_fract_z
Dy1 Dy 0.0000 0.0000 0.0000
I1 I 0.0000 0.3412 0.3454
Br1 Br 0.0000 0.5000 0.7662
```

distance to the lowest polymorph of the same formula = 0.017 eV per atom
density = 4.3 g cm⁻³
raw formation energy = -1.51 eV/atom


The following is a DFT calculation (PBE-GGA) of a geometry-optimized DyIBr structure.

Structure (CIF):
```
data_DyIBr
_symmetry_space_group_name_H-M 'P 1 21/m 1'
_symmetry_Int_Tables_number 11
_symmetry_space_group_name_Hall '-P 2yb'
_cell_length_a 5.1521
_cell_length_b 5.1531
_cell_length_c 8.2106
_cell_angle_alpha 90.00
_cell_angle_beta 106.50
_cell_angle_gamma 90.00
loop_
_atom_site_label
_atom_site_type_symbol
_atom_site_fract_x
_atom_site_fract_y
_atom_site_fract_z
Dy1 Dy 0.2499 0.2500 0.0001
I1 I 0.1382 0.7500 0.7531
Br1 Br 0.3426 0.7500 0.2048
```

distance to the lowest polymorph of the same formula = 0.058 eV per atom
density = 5.9 g cm⁻³
raw formation energy = -1.34 eV/atom


The following is a DFT calculation (PBE-GGA) of a geometry-optimized DyIBr structure.

Structure (CIF):
```
data_DyIBr
_symmetry_space_group_name_H-M 'P -1'
_symmetry_Int_Tables_number 2
_symmetry_space_group_name_Hall '-P 1'
_cell_length_a 4.0107
_cell_length_b 6.9155
_cell_length_c 8.7427
_cell_angle_alpha 110.76
_cell_angle_beta 102.83
_cell_angle_gamma 90.00
loop_
_atom_site_label
_atom_site_type_symbol
_atom_site_fract_x
_atom_site_fract_y
_atom_site_fract_z
Dy1 Dy 0.2492 0.2604 0.4984
I1 I 0.3766 0.7018 0.7616
Br1 Br 0.1470 0.8229 0.2873
```

distance to the lowest polymorph of the same formula = 0.000 eV per atom
density = 5.6 g cm⁻³
raw formation energy = -1.39 eV/atom


The following is a DFT calculation (PBE-GGA) of a geometry-optimized DyI3Br structure.

Structure (CIF):
```
data_DyI3Br
_symmetry_space_group_name_H-M 'I m a 2'
_symmetry_Int_Tables_number 46
_symmetry_space_group_name_Hall 'I 2 -2a'
_cell_length_a 13.0036
_cell_length_b 7.3797
_cell_length_c 8.7703
_cell_angle_alpha 90.00
_cell_angle_beta 90.00
_cell_angle_gamma 90.00
loop_
_atom_site_label
_atom_site_type_symbol
_atom_site_fract_x
_atom_site_fract_y
_atom_site_fract_z
Dy1 Dy 0.2500 0.2345 0.0000
I1 I 0.0137 0.2284 0.9993
I2 I 0.2500 0.5319 0.7631
Br1 Br 0.2500 0.0125 0.7392
```

density = 4.9 g cm⁻³
raw formation energy = -1.10 eV/atom